# Mn2Os2Au, relaxed, DFT PBE-GGA
# Formation energy in eV per atom: 0.283
# Crystal system: tetragonal
# ρ in kg/m3: 15938
# Total magnetic moment in Bohr magnetons per cell: 3.26
# DFT total energy in eV/atom: -8.53
data_Mn2Os2Au
_chemical_formula_sum 'Mn4 Os4 Au2'
_cell_length_a 7.3248
_cell_length_b 7.3248
_cell_length_c 2.6693
_cell_angle_alpha 90.00
_cell_angle_beta 90.00
_cell_angle_gamma 90.00
_space_group_name_H-M_alt 'P 4/m b m'
_space_group_IT_number 127
_space_group_name_Hall '-P 4 2ab'
loop_
_atom_site_label
_atom_site_type_symbol
_atom_site_fract_x
_atom_site_fract_y
_atom_site_fract_z
_atom_site_occupancy
Mn1 Mn 0.1636 0.3364 0.0000 1
Os1 Os 0.1268 0.6268 0.5000 1
Au1 Au 0.0000 0.0000 0.5000 1